ZrP2SCl | GGA-PBE | optimized geometry

```
ZrP2SCl
1.0
5.126 0.000 0.000
0.000 5.126 0.000
0.000 0.000 4.835
Zr P S Cl
1 2 1 1
direct
0.000 0.000 0.000
0.000 0.500 0.000
0.500 0.000 0.000
0.500 0.500 0.500
0.000 0.000 0.500
```

Computed properties:
Its calculated volume is 25.41 A^3/atom. The value obtained for the calculated density is 2885 kg/m3. The total DFT energy (no corrections) comes out at -4.750 eV/atom. Its symmetry is P4/mmm. The value obtained for the excess energy over the best structure of this formula in the dataset is 103.8 meV/atom. As for the density of states at the Fermi level: 0.806 states/eV per atom.